# 1
Here is crystalline SiSeBr at its relaxed geometry from Alexandria via LeMat-Bulk. Energies are from PBE-GGA.

Computed properties:
Distance to the lowest polymorph of the same formula (meV per atom): 851
Spin magnetization (μB/f.u.): 0.0
N(E_F) (states/eV/atom): 0.8849
Crystal system: cubic
ΔE_f (raw) (meV/atom): 318

POSCAR file:
```
SiSeBr
1.0
6.6265 0.0000 0.0000
0.0000 6.6265 0.0000
0.0000 0.0000 6.6265
Si Se Br
4 4 4
direct
0.0000 0.0000 0.0000
0.0000 0.5000 0.5000
0.5000 0.0000 0.5000
0.5000 0.5000 0.0000
0.2500 0.2500 0.2500
0.2500 0.7500 0.7500
0.7500 0.2500 0.7500
0.7500 0.7500 0.2500
0.2500 0.2500 0.7500
0.2500 0.7500 0.2500
0.7500 0.2500 0.2500
0.7500 0.7500 0.7500
```

---

# 2
Here is crystalline Pm3AlCd3 at its relaxed geometry from Alexandria via LeMat-Bulk. Energies are from PBE-GGA.

Computed properties:
Spin magnetization (μB/f.u.): 0.0
N(E_F) (states/eV/atom): 0.8657
Crystal system: orthorhombic
ΔE_f (eV/atom): -0.31

POSCAR file:
```
Pm3AlCd3
1.0
3.6301 0.0000 0.0000
0.0000 4.8794 0.0000
0.0000 0.0000 21.0102
Pm Al Cd
6 2 6
direct
0.0000 0.0000 0.0000
0.0000 0.0000 0.3929
0.0000 0.5000 0.2026
0.5000 0.0000 0.7026
0.5000 0.5000 0.5000
0.5000 0.5000 0.8929
0.0000 0.5000 0.7650
0.5000 0.0000 0.2650
0.0000 0.0000 0.5575
0.0000 0.0000 0.8372
0.0000 0.5000 0.6339
0.5000 0.0000 0.1339
0.5000 0.5000 0.0575
0.5000 0.5000 0.3372
```

---

# 3
Here is crystalline LiGe2RuO6 at its relaxed geometry from Alexandria via LeMat-Bulk. Energies are from PBE-GGA.

Computed properties:
Spin magnetization (μB/f.u.): 1.0
N(E_F) (states/eV/atom): 0.2781
Crystal system: monoclinic
ΔE_f (raw) (meV/atom): -1449

POSCAR file:
```
LiGe2RuO6
1.0
4.9386 -4.4639 0.0000
4.9386 4.4639 0.0000
-1.0851 0.0000 5.0945
Li Ge Ru O
2 4 2 12
direct
0.2270 0.7730 0.7500
0.7730 0.2270 0.2500
0.0983 0.2912 0.7918
0.2912 0.0983 0.2918
0.7088 0.9017 0.7082
0.9017 0.7088 0.2082
0.4148 0.5852 0.2500
0.5852 0.4148 0.7500
0.0727 0.2041 0.0931
0.1360 0.6261 0.3751
0.2041 0.0727 0.5931
0.2906 0.4738 0.8694
0.3739 0.8640 0.1249
0.4738 0.2906 0.3694
0.5262 0.7094 0.6306
0.6261 0.1360 0.8751
0.7094 0.5262 0.1306
0.7959 0.9273 0.4069
0.8640 0.3739 0.6249
0.9273 0.7959 0.9069
```

---

# 4
Here is crystalline PmTl2RuO6 at its relaxed geometry from Alexandria via LeMat-Bulk. Energies are from PBE-GGA.

Computed properties:
Spin magnetization (μB/f.u.): 0.2
N(E_F) (states/eV/atom): 0.3986
Crystal system: trigonal
ΔE_f (raw) (meV/atom): -1313

POSCAR file:
```
PmTl2RuO6
1.0
3.0009 1.7326 10.7888
-3.0009 1.7326 10.7888
0.0000 -3.4652 10.7888
Pm Tl Ru O
2 4 2 12
direct
0.0932 0.0932 0.0932
0.9068 0.9068 0.9068
0.2014 0.2014 0.2014
0.3468 0.3468 0.3468
0.6532 0.6532 0.6532
0.7986 0.7986 0.7986
0.0000 0.0000 0.0000
0.5000 0.5000 0.5000
0.1141 0.1141 0.6668
0.1141 0.6668 0.1141
0.2282 0.6863 0.6863
0.3137 0.3137 0.7718
0.3137 0.7718 0.3137
0.3332 0.8859 0.8859
0.6668 0.1141 0.1141
0.6863 0.2282 0.6863
0.6863 0.6863 0.2282
0.7718 0.3137 0.3137
0.8859 0.3332 0.8859
0.8859 0.8859 0.3332
```

---

# 5
Here is crystalline RbEu2O at its relaxed geometry from Alexandria via LeMat-Bulk. Energies are from PBE-GGA.

Computed properties:
Spin magnetization (μB/f.u.): 15.6
N(E_F) (states/eV/atom): 0.7777
Crystal system: trigonal
ΔE_f (raw) (meV/atom): -1123

POSCAR file:
```
RbEu2O
1.0
3.8052 0.0000 0.0000
-1.9026 3.2954 0.0000
0.0000 0.0000 32.4016
Rb Eu O
3 6 3
direct
0.0000 0.0000 0.0000
0.3333 0.6667 0.6667
0.6667 0.3333 0.3333
0.0000 0.0000 0.1248
0.0000 0.0000 0.8752
0.3333 0.6667 0.5419
0.3333 0.6667 0.7914
0.6667 0.3333 0.2086
0.6667 0.3333 0.4581
0.0000 0.0000 0.5000
0.3333 0.6667 0.1667
0.6667 0.3333 0.8333
```

---

# 6
Here is crystalline LaGeBi2Se at its relaxed geometry from Alexandria via LeMat-Bulk. Energies are from PBE-GGA.

Computed properties:
Spin magnetization (μB/f.u.): 0.0
N(E_F) (states/eV/atom): 0.9626
Crystal system: tetragonal
ΔE_f (raw) (meV/atom): -59

POSCAR file:
```
LaGeBi2Se
1.0
5.6832 0.0000 0.0000
0.0000 5.6832 0.0000
0.0000 0.0000 5.3754
La Ge Bi Se
1 1 2 1
direct
0.0000 0.0000 0.0000
0.5000 0.5000 0.5000
0.0000 0.5000 0.5000
0.5000 0.0000 0.5000
0.5000 0.5000 0.0000
```

---

# 7
Here is crystalline Pm6CuAg5 at its relaxed geometry from Alexandria via LeMat-Bulk. Energies are from PBE-GGA.

Computed properties:
Spin magnetization (μB/f.u.): 0.0
N(E_F) (states/eV/atom): 0.7477
Crystal system: monoclinic
ΔE_f (eV/atom): -0.25

POSCAR file:
```
Pm6CuAg5
1.0
5.2781 0.0000 0.0000
0.0000 7.3405 0.0000
-2.5890 0.0000 7.9115
Pm Cu Ag
6 1 5
direct
0.0000 0.2429 0.0000
0.0000 0.7571 0.0000
0.3370 0.2468 0.6738
0.3370 0.7532 0.6738
0.6630 0.2468 0.3262
0.6630 0.7532 0.3262
0.5000 0.0000 0.0000
0.1694 0.0000 0.3387
0.1686 0.5000 0.3371
0.5000 0.5000 0.0000
0.8306 0.0000 0.6613
0.8314 0.5000 0.6629
```

---

# 8
Here is crystalline NpRhS2 at its relaxed geometry from Alexandria via LeMat-Bulk. Energies are from PBE-GGA.

Computed properties:
Distance to the lowest polymorph of the same formula (meV per atom): 172
Spin magnetization (μB/f.u.): 3.9
N(E_F) (states/eV/atom): 2.1368
Crystal system: trigonal
ΔE_f (raw) (meV/atom): -741

POSCAR file:
```
NpRhS2
1.0
3.7540 0.0000 0.0000
-1.8770 3.2511 0.0000
0.0000 0.0000 17.7570
Np Rh S
3 3 6
direct
0.0000 0.0000 0.0000
0.3333 0.6667 0.6667
0.6667 0.3333 0.3333
0.0000 0.0000 0.1820
0.3333 0.6667 0.8487
0.6667 0.3333 0.5153
0.0000 0.0000 0.5764
0.0000 0.0000 0.7640
0.3333 0.6667 0.2431
0.3333 0.6667 0.4307
0.6667 0.3333 0.0973
0.6667 0.3333 0.9097
```

---

# 9
Here is crystalline ScZnFeOs at its relaxed geometry from Alexandria via LeMat-Bulk. Energies are from PBE-GGA.

Computed properties:
Spin magnetization (μB/f.u.): 2.5
N(E_F) (states/eV/atom): 0.4128
Crystal system: cubic
ΔE_f (eV/atom): -0.09

POSCAR file:
```
ScZnFeOs
1.0
6.1899 0.0000 0.0000
0.0000 6.1899 0.0000
0.0000 0.0000 6.1899
Sc Zn Fe Os
4 4 4 4
direct
0.0000 0.0000 0.0000
0.0000 0.5000 0.5000
0.5000 0.0000 0.5000
0.5000 0.5000 0.0000
0.2500 0.2500 0.7500
0.2500 0.7500 0.2500
0.7500 0.2500 0.2500
0.7500 0.7500 0.7500
0.2500 0.2500 0.2500
0.2500 0.7500 0.7500
0.7500 0.2500 0.7500
0.7500 0.7500 0.2500
0.0000 0.0000 0.5000
0.0000 0.5000 0.0000
0.5000 0.0000 0.0000
0.5000 0.5000 0.5000
```

---

# 10
Here is crystalline Na2AgAs2 at its relaxed geometry from Alexandria via LeMat-Bulk. Energies are from PBE-GGA.

Computed properties:
Distance to the lowest polymorph of the same formula (meV per atom): 333
Spin magnetization (μB/f.u.): 0.0
N(E_F) (states/eV/atom): 0.5012
Crystal system: tetragonal
ΔE_f (eV/atom): 0.04

POSCAR file:
```
Na2AgAs2
1.0
8.6573 0.0000 0.0000
0.0000 8.6573 0.0000
0.0000 0.0000 2.8646
Na Ag As
4 2 4
direct
0.1201 0.3799 0.0000
0.3799 0.8799 0.0000
0.6201 0.1201 0.0000
0.8799 0.6201 0.0000
0.0000 0.0000 0.0000
0.5000 0.5000 0.0000
0.1803 0.6803 0.5000
0.3197 0.1803 0.5000
0.6803 0.8197 0.5000
0.8197 0.3197 0.5000
```

---

# 11
Here is crystalline ScTlHgGe2 at its relaxed geometry from Alexandria via LeMat-Bulk. Energies are from PBE-GGA.

Computed properties:
Spin magnetization (μB/f.u.): 0.0
N(E_F) (states/eV/atom): 0.8968
Crystal system: tetragonal
ΔE_f (eV/atom): 0.39

POSCAR file:
```
ScTlHgGe2
1.0
5.1930 0.0000 0.0000
0.0000 5.1930 0.0000
0.0000 0.0000 5.8462
Sc Tl Hg Ge
1 1 1 2
direct
0.0000 0.0000 0.0000
0.0000 0.0000 0.5000
0.5000 0.5000 0.5000
0.0000 0.5000 0.0000
0.5000 0.0000 0.0000
```

---

# 12
Here is crystalline SiPS3 at its relaxed geometry from Alexandria via LeMat-Bulk. Energies are from PBE-GGA.

Computed properties:
Distance to the lowest polymorph of the same formula (meV per atom): 0
Spin magnetization (μB/f.u.): 0.0
N(E_F) (states/eV/atom): 0.0000
Crystal system: monoclinic
ΔE_f (raw) (meV/atom): -304

POSCAR file:
```
SiPS3
1.0
6.6101 0.0000 0.0000
0.0000 7.1019 0.0000
-5.2275 0.0000 10.4426
Si P S
4 4 12
direct
0.1691 0.0868 0.0641
0.1691 0.4132 0.5641
0.8309 0.5868 0.4359
0.8309 0.9132 0.9359
0.2978 0.0462 0.8110
0.2978 0.4538 0.3110
0.7022 0.5462 0.6890
0.7022 0.9538 0.1890
0.0508 0.1874 0.6435
0.0508 0.3126 0.1435
0.3249 0.2365 0.9632
0.3249 0.2635 0.4632
0.3964 0.6143 0.7013
0.3964 0.8857 0.2013
0.6036 0.1143 0.7987
0.6036 0.3857 0.2987
0.6751 0.7365 0.5368
0.6751 0.7635 0.0368
0.9492 0.6874 0.8565
0.9492 0.8126 0.3565
```

---

# 13
Here is crystalline KV3Cd at its relaxed geometry from Alexandria via LeMat-Bulk. Energies are from PBE-GGA.

Computed properties:
Distance to the lowest polymorph of the same formula (meV per atom): 0
Spin magnetization (μB/f.u.): 10.9
N(E_F) (states/eV/atom): 2.3470
Crystal system: cubic
ΔE_f (eV/atom): 1.62

POSCAR file:
```
KV3Cd
1.0
5.2840 0.0000 0.0000
0.0000 5.2840 0.0000
0.0000 0.0000 5.2840
K V Cd
1 3 1
direct
0.0000 0.0000 0.0000
0.0000 0.5000 0.5000
0.5000 0.0000 0.5000
0.5000 0.5000 0.0000
0.5000 0.5000 0.5000
```

---

# 14
Here is crystalline DyThGa2 at its relaxed geometry from Alexandria via LeMat-Bulk. Energies are from PBE-GGA.

Computed properties:
Distance to the lowest polymorph of the same formula (meV per atom): 0
Spin magnetization (μB/f.u.): 0.0
N(E_F) (states/eV/atom): 0.9124
Crystal system: monoclinic
ΔE_f (eV/atom): -0.57

POSCAR file:
```
DyThGa2
1.0
4.3977 0.0000 0.0000
0.0000 4.1001 0.0000
-2.1910 0.0000 5.5380
Dy Th Ga
1 1 2
direct
0.0000 0.0000 0.0000
0.2815 0.5000 0.5643
0.5634 0.5000 0.1262
0.7114 0.0000 0.4240
```

---

# 15
Here is crystalline RbLa2Y3Te6 at its relaxed geometry from Alexandria via LeMat-Bulk. Energies are from PBE-GGA.

Computed properties:
Spin magnetization (μB/f.u.): 0.0
N(E_F) (states/eV/atom): 0.4388
Crystal system: monoclinic
ΔE_f (raw) (meV/atom): -1403

POSCAR file:
```
RbLa2Y3Te6
1.0
9.9643 -2.2212 0.0000
9.9643 2.2212 0.0000
-2.3942 0.0000 8.9682
Rb La Y Te
1 2 3 6
direct
0.0000 0.0000 0.0000
0.3293 0.3293 0.6564
0.6707 0.6707 0.3436
0.0000 0.0000 0.5000
0.3366 0.3366 0.1780
0.6634 0.6634 0.8220
0.1616 0.1616 0.5913
0.1760 0.1760 0.0762
0.4990 0.4990 0.2728
0.5010 0.5010 0.7272
0.8240 0.8240 0.9238
0.8384 0.8384 0.4087
```

---

# 16
Here is crystalline Be2PSe at its relaxed geometry from Alexandria via LeMat-Bulk. Energies are from PBE-GGA.

Computed properties:
Distance to the lowest polymorph of the same formula (meV per atom): 68
Spin magnetization (μB/f.u.): 0.0
N(E_F) (states/eV/atom): 0.1516
Crystal system: triclinic
ΔE_f (raw) (meV/atom): -272

POSCAR file:
```
Be2PSe
1.0
3.6598 0.0000 0.0000
-1.7980 3.1962 0.0000
-0.7066 -0.9437 5.4400
Be P Se
2 1 1
direct
0.0000 0.0000 0.0000
0.3108 0.7923 0.5790
0.3209 0.6533 0.9531
0.9307 0.0934 0.4451
```

---

# 17
Here is crystalline Mg9Si5 at its relaxed geometry from Alexandria via LeMat-Bulk. Energies are from PBE-GGA.

Computed properties:
Distance to the lowest polymorph of the same formula (meV per atom): 64
Spin magnetization (μB/f.u.): 0.0
N(E_F) (states/eV/atom): 0.1745
Crystal system: triclinic
ΔE_f (raw) (meV/atom): -49

POSCAR file:
```
Mg9Si5
1.0
7.1494 0.0000 0.0000
-3.5619 6.2869 0.0000
-1.7077 -2.7396 12.5530
Mg Si
18 10
direct
0.0000 0.0000 0.0000
0.0098 0.6744 0.1618
0.0855 0.4900 0.6705
0.1289 0.7933 0.5092
0.2033 0.1193 0.3348
0.2199 0.4723 0.9928
0.3421 0.0213 0.8100
0.4060 0.7356 0.3387
0.4258 0.3384 0.6462
0.4827 0.4052 0.1797
0.5267 0.7389 0.8562
0.5596 0.8591 0.6383
0.6245 0.5206 0.4765
0.7044 0.2249 0.0232
0.7235 0.9055 0.1707
0.8412 0.3428 0.3278
0.8794 0.5575 0.8623
0.8918 0.0721 0.4956
0.0413 0.1000 0.7149
0.0694 0.3229 0.1716
0.2209 0.4653 0.4796
0.2976 0.8755 0.9951
0.4199 0.0119 0.1915
0.5321 0.1133 0.4917
0.6491 0.5750 0.0110
0.8212 0.7379 0.3358
0.8437 0.1597 0.8373
0.8685 0.7093 0.6758
```

---

# 18
Here is crystalline Nb6S12I at its relaxed geometry from Alexandria via LeMat-Bulk. Energies are from PBE-GGA.

Computed properties:
Spin magnetization (μB/f.u.): 3.4
N(E_F) (states/eV/atom): 0.4765
Crystal system: trigonal
ΔE_f (raw) (meV/atom): -612

POSCAR file:
```
Nb6S12I
1.0
5.8409 3.3723 3.1839
-5.8409 3.3723 3.1839
0.0000 -6.7445 3.1839
Nb S I
6 12 1
direct
0.2444 0.2444 0.6435
0.2444 0.6435 0.2444
0.3565 0.7556 0.7556
0.6435 0.2444 0.2444
0.7556 0.3565 0.7556
0.7556 0.7556 0.3565
0.1269 0.5000 0.8731
0.1269 0.8731 0.5000
0.1778 0.4604 0.4604
0.4604 0.1778 0.4604
0.4604 0.4604 0.1778
0.5000 0.1269 0.8731
0.5000 0.8731 0.1269
0.5396 0.5396 0.8222
0.5396 0.8222 0.5396
0.8222 0.5396 0.5396
0.8731 0.1269 0.5000
0.8731 0.5000 0.1269
0.0000 0.0000 0.0000
```

---

# 19
Here is crystalline Cd3Cu5 at its relaxed geometry from Alexandria via LeMat-Bulk. Energies are from PBE-GGA.

Computed properties:
Distance to the lowest polymorph of the same formula (meV per atom): 49
Spin magnetization (μB/f.u.): 0.0
N(E_F) (states/eV/atom): 0.1758
Crystal system: monoclinic
ΔE_f (eV/atom): 0.12

POSCAR file:
```
Cd3Cu5
1.0
2.6316 -6.8800 0.0000
2.6316 6.8800 0.0000
-1.7411 0.0000 6.9933
Cd Cu
6 10
direct
0.0000 0.0000 0.0000
0.0359 0.5969 0.8127
0.5969 0.0359 0.8127
0.6308 0.6308 0.6223
0.6579 0.9733 0.3113
0.9733 0.6579 0.3113
0.0232 0.2067 0.6817
0.0753 0.4119 0.1353
0.1313 0.1313 0.3876
0.2067 0.0232 0.6817
0.2203 0.5583 0.4900
0.4119 0.0753 0.1353
0.4234 0.6069 0.9405
0.5008 0.5008 0.2347
0.5583 0.2203 0.4900
0.6069 0.4234 0.9405
```

---

# 20
Here is crystalline TlTePRu2 at its relaxed geometry from Alexandria via LeMat-Bulk. Energies are from PBE-GGA.

Computed properties:
Spin magnetization (μB/f.u.): 2.2
N(E_F) (states/eV/atom): 1.1162
Crystal system: tetragonal
ΔE_f (raw) (meV/atom): 689

POSCAR file:
```
TlTePRu2
1.0
4.4976 0.0000 0.0000
0.0000 4.4976 0.0000
0.0000 0.0000 5.4515
Tl Te P Ru
1 1 1 2
direct
0.0000 0.0000 0.0000
0.5000 0.5000 0.0000
0.5000 0.5000 0.5000
0.0000 0.5000 0.5000
0.5000 0.0000 0.5000
```